1.
{"formula": "SrY2In9", "functional": "PBE-GGA", "state": "optimized geometry", "dos_ef_per_ev_cell": 4.9, "e_tot_ev_per_atom": -3.6547, "e_form_ev_per_atom": -0.38, "space_group": "P4/mmm, No. 123", "lattice_angstrom": [[4.715, 0.000, 0.000], [0.000, 4.715, 0.000], [0.000, 0.000, 14.161]], "species": ["Sr", "Y", "Y", "In", "In", "In", "In", "In", "In", "In", "In", "In"], "fractional_positions": [[0.000, 0.000, 0.000], [0.000, 0.000, 0.340], [0.000, 0.000, 0.660], [0.500, 0.500, 0.000], [0.500, 0.500, 0.335], [0.500, 0.500, 0.665], [0.500, 0.000, 0.175], [0.500, 0.000, 0.500], [0.500, 0.000, 0.825], [0.000, 0.500, 0.175], [0.000, 0.500, 0.500], [0.000, 0.500, 0.825]]}

=====

2.
{"formula": "SrYIn", "functional": "PBE-GGA", "state": "optimized geometry", "dos_ef_per_ev_cell": 7.2, "e_tot_ev_per_atom": -3.7738, "e_form_ev_per_atom": -0.15, "space_group": "Pnma, No. 62", "lattice_angstrom": [[7.469, 0.000, 0.000], [0.000, 4.900, 0.000], [0.000, 0.000, 10.457]], "species": ["Y", "Y", "Y", "Y", "Sr", "Sr", "Sr", "Sr", "In", "In", "In", "In"], "fractional_positions": [[0.393, 0.250, 0.387], [0.107, 0.750, 0.887], [0.607, 0.750, 0.613], [0.893, 0.250, 0.113], [0.866, 0.250, 0.431], [0.634, 0.750, 0.931], [0.134, 0.750, 0.569], [0.366, 0.250, 0.069], [0.868, 0.250, 0.770], [0.632, 0.750, 0.270], [0.132, 0.750, 0.230], [0.368, 0.250, 0.730]]}